[1]
BaLi2 | meta-GGA SCAN | PBEsol geometry

Lattice parameters (Å, degrees): 3.9945 3.9945 6.7710 107.16 107.16 90.00
Sites, in units of the cell vectors:
Ba 0.0000 0.0000 0.0000
Li 0.2970 0.2970 0.5940
Li 0.7030 0.7030 0.4060

Space group: I4/mmm (139)
Total energy, eV/f.u.: -44.2
ΔH_f (0 K), eV/atom: 0.04
Fermi-level density of states, states/eV/cell: 2.2

=====

[2]
Ba3Li4 | meta-GGA SCAN | PBEsol geometry

Lattice parameters (Å, degrees): 4.0399 4.0399 15.8305 97.33 97.33 90.00
Sites, in units of the cell vectors:
Ba 0.0000 0.0000 0.0000
Ba 0.6952 0.6952 0.3905
Ba 0.3048 0.3048 0.6095
Li 0.8835 0.8835 0.7669
Li 0.1165 0.1165 0.2331
Li 0.5796 0.5796 0.1593
Li 0.4204 0.4204 0.8407

Space group: I4/mmm (139)
Total energy, eV/f.u.: -128.0
ΔH_f (0 K), eV/atom: 0.03
Fermi-level density of states, states/eV/cell: 5.4

=====

[3]
BaLi5 | meta-GGA SCAN | PBEsol geometry

Lattice parameters (Å, degrees): 3.9916 4.6871 9.0772 90.00 102.70 90.00
Sites, in units of the cell vectors:
Ba 0.0018 0.0000 0.0036
Li 0.3021 0.0000 0.6042
Li 0.6760 0.0000 0.3520
Li 0.4018 0.5000 0.8036
Li 0.7870 0.5000 0.5740
Li 0.1646 0.5000 0.3292

Space group: Amm2 (38)
Total energy, eV/f.u.: -51.0
ΔH_f (0 K), eV/atom: 0.08
Fermi-level density of states, states/eV/cell: 2.8

=====

[4]
Ba5Li4 | meta-GGA SCAN | PBEsol geometry

Lattice parameters (Å, degrees): 7.7060 10.9027 10.9027 120.00 90.00 90.00
Sites, in units of the cell vectors:
Ba 0.7500 0.0000 0.7179
Ba 0.7500 0.7179 0.0000
Ba 0.7500 0.2821 0.2821
Ba 0.2500 0.0000 0.2821
Ba 0.2500 0.2821 0.0000
Ba 0.2500 0.7179 0.7179
Ba 0.0000 0.3333 0.6667
Ba 0.5000 0.6667 0.3333
Ba 0.0000 0.6667 0.3333
Ba 0.5000 0.3333 0.6667
Li 0.0000 0.0000 0.0000
Li 0.5000 0.0000 0.0000
Li 0.7500 0.0000 0.3821
Li 0.7500 0.3821 0.0000
Li 0.7500 0.6179 0.6179
Li 0.2500 0.0000 0.6179
Li 0.2500 0.6179 0.0000
Li 0.2500 0.3821 0.3821

Space group: P6_3/mcm (193)
Total energy, eV/f.u.: -206.8
ΔH_f (0 K), eV/atom: 0.06
Fermi-level density of states, states/eV/cell: 14.5